Entry 1:
This record from OQMD via LeMat-Bulk describes an optimized crystal structure of BaLiPrS3. The functional is PBE.

VASP energy	-5.408	eV/atom
total magnetization	0.00	μB/atom

Unit cell a=7.123 b=7.123 c=10.725 alpha=90.00 beta=90.00 gamma=145.73
Sites, in units of the cell vectors:
1 Ba 0.246 0.754 0.250
2 Ba 0.754 0.246 0.750
3 Li 0.971 0.029 0.250
4 Li 0.029 0.971 0.750
5 Pr 0.500 0.500 0.000
6 Pr 0.500 0.500 0.500
7 S 0.867 0.133 0.070
8 S 0.569 0.431 0.250
9 S 0.867 0.133 0.430
10 S 0.133 0.867 0.570
11 S 0.431 0.569 0.750
12 S 0.133 0.867 0.930

---

Entry 2:
This record from OQMD via LeMat-Bulk describes an optimized crystal structure of BaLiPt. The functional is PBE.

VASP energy	-3.648	eV/atom
total magnetization	0.22	μB/atom

Unit cell a=5.051 b=5.051 c=5.051 alpha=60.00 beta=60.00 gamma=60.00
Sites, in units of the cell vectors:
1 Ba 0.250 0.250 0.250
2 Li 0.750 0.750 0.750
3 Pt 0.000 0.000 0.000

---

Entry 3:
This record from OQMD via LeMat-Bulk describes an optimized crystal structure of BaLi2Pt2. The functional is PBE.

VASP energy	-4.137	eV/atom
total magnetization	0.00	μB/atom

Unit cell a=6.367 b=6.367 c=6.367 alpha=140.13 beta=140.13 gamma=57.66
Sites, in units of the cell vectors:
1 Ba 0.000 0.000 0.000
2 Li 0.750 0.250 0.500
3 Li 0.250 0.750 0.500
4 Pt 0.381 0.381 0.000
5 Pt 0.619 0.619 0.000

---

Entry 4:
This record from OQMD via LeMat-Bulk describes an optimized crystal structure of Ba2LiPtS6. The functional is PBE.

VASP energy	-4.527	eV/atom
total magnetization	0.24	μB/atom

Unit cell a=6.841 b=6.841 c=6.841 alpha=120.00 beta=90.00 gamma=120.00
Each line ends with the local moment (μB).
Sites, in units of the cell vectors:
1 Ba 0.750 0.500 0.250  0.01
2 Ba 0.250 0.500 0.750  0.01
3 Li 0.000 0.000 0.000  0.00
4 Pt 0.500 0.000 0.500  0.18
5 S 0.254 0.508 0.254  0.24
6 S 0.254 0.000 0.254  0.24
7 S 0.746 0.000 0.254  0.24
8 S 0.746 0.492 0.746  0.24
9 S 0.746 0.000 0.746  0.24
10 S 0.254 0.000 0.746  0.24

---

Entry 5:
This record from OQMD via LeMat-Bulk describes an optimized crystal structure of BaLiTaPt. The functional is PBE.

VASP energy	-5.081	eV/atom
total magnetization	0.00	μB/atom

Unit cell a=4.837 b=4.837 c=4.837 alpha=60.00 beta=60.00 gamma=60.00
Sites, in units of the cell vectors:
1 Ba 0.000 0.000 0.000
2 Li 0.750 0.750 0.750
3 Pt 0.500 0.500 0.500
4 Ta 0.250 0.250 0.250

---

Entry 6:
This record from OQMD via LeMat-Bulk describes an optimized crystal structure of BaLiTaPt. The functional is PBE.

VASP energy	-4.575	eV/atom
total magnetization	0.06	μB/atom

Unit cell a=4.927 b=4.927 c=4.927 alpha=60.00 beta=60.00 gamma=60.00
Sites, in units of the cell vectors:
1 Ba 0.250 0.250 0.250
2 Li 0.750 0.750 0.750
3 Pt 0.500 0.500 0.500
4 Ta 0.000 0.000 0.000

---

Entry 7:
This record from OQMD via LeMat-Bulk describes an optimized crystal structure of BaLiTaPt. The functional is PBE.

VASP energy	-4.902	eV/atom
total magnetization	0.45	μB/atom

Unit cell a=5.032 b=5.032 c=5.032 alpha=60.00 beta=60.00 gamma=60.00
Sites, in units of the cell vectors:
1 Ba 0.500 0.500 0.500
2 Li 0.750 0.750 0.750
3 Pt 0.250 0.250 0.250
4 Ta 0.000 0.000 0.000

---

Entry 8:
This record from OQMD via LeMat-Bulk describes an optimized crystal structure of BaLiPu. The functional is PBE.

VASP energy	-5.378	eV/atom
total magnetization	2.30	μB/atom

Unit cell a=5.511 b=5.511 c=5.511 alpha=60.00 beta=60.00 gamma=60.00
Each line ends with the local moment (μB).
Sites, in units of the cell vectors:
1 Ba 0.000 0.000 0.000  0.14
2 Li 0.750 0.750 0.750  0.04
3 Pu 0.500 0.500 0.500  5.87